This record from the Alexandria database describes a relaxed Sc3Mn crystal. The functional is PBE-GGA.

Unit cell a=3.490 b=4.905 c=9.653 alpha=90.00 beta=90.00 gamma=90.00
Positions (direct):
Sc 0.000 0.000 0.000
Sc 0.000 0.500 0.208
Sc 0.000 0.500 0.792
Sc 0.500 0.000 0.292
Sc 0.500 0.000 0.708
Sc 0.500 0.500 0.500
Mn 0.000 0.000 0.500
Mn 0.500 0.500 0.000

Its crystal system is orthorhombic. For the magnetic moment, the calculation gives 3.20 Bohr magnetons per cell. Its calculated density is 3815 kg/m³. Its symmetry is No. 71. Its formation energy is 0.09 eV/atom.